a | This record from OQMD describes a relaxed Si17NiGe13P crystal. The functional is PBE.

Cell and atoms, written as POSCAR:
```
Si17NiGe13P
1.0
-1.073 -5.264 -1.327
3.666 -0.987 0.952
-9.045 -5.044 29.596
Ge Ni P Si
13 1 1 17
Direct
0.242 0.500 0.001
0.005 0.000 0.124
0.757 0.000 0.189
0.492 0.500 0.189
0.009 0.000 0.374
0.753 0.000 0.438
0.275 0.500 0.502
0.008 0.000 0.504
0.276 0.500 0.629
0.214 0.500 0.747
0.992 0.000 0.870
0.487 0.500 0.936
0.751 0.000 0.936
0.736 0.000 0.681
0.004 0.000 0.629
0.990 0.000 0.001
0.744 0.000 0.061
0.504 0.500 0.063
0.256 0.500 0.124
0.005 0.000 0.252
0.246 0.500 0.252
0.748 0.000 0.312
0.505 0.500 0.313
0.262 0.500 0.374
0.502 0.500 0.437
0.528 0.500 0.566
0.772 0.000 0.568
0.538 0.500 0.695
0.947 0.000 0.743
0.724 0.000 0.808
0.481 0.500 0.810
0.245 0.500 0.871
```


b | This record from OQMD describes a relaxed Si17NiGe13P crystal. The functional is PBE.

Cell and atoms, written as POSCAR:
```
Si17NiGe13P
1.0
5.573 0.000 0.000
0.000 3.942 0.000
-0.049 0.000 30.824
Ge Ni P Si
13 1 1 17
Direct
0.757 0.000 0.001
0.994 0.500 0.124
0.244 0.500 0.189
0.507 0.000 0.190
0.995 0.500 0.376
0.255 0.500 0.441
0.006 0.500 0.507
0.741 0.000 0.510
0.254 0.500 0.681
0.749 0.000 0.741
0.991 0.500 0.869
0.505 0.000 0.934
0.243 0.500 0.936
0.800 0.000 0.625
0.973 0.500 0.624
0.006 0.500 0.001
0.257 0.500 0.062
0.494 0.000 0.063
0.745 0.000 0.124
0.995 0.500 0.253
0.755 0.000 0.254
0.255 0.500 0.313
0.496 0.000 0.315
0.742 0.000 0.378
0.506 0.000 0.442
0.253 0.500 0.571
0.495 0.000 0.577
0.505 0.000 0.673
0.001 0.500 0.745
0.491 0.000 0.806
0.251 0.500 0.807
0.741 0.000 0.868
```


c | This record from OQMD describes a relaxed Si17NiGe13P crystal. The functional is PBE.

Cell and atoms, written as POSCAR:
```
Si17NiGe13P
1.0
5.526 0.000 0.000
0.000 3.954 0.000
-0.001 0.000 31.180
Ge Ni P Si
13 1 1 17
Direct
0.755 0.000 0.003
0.994 0.500 0.125
0.266 0.500 0.189
0.993 0.500 0.373
0.256 0.500 0.437
0.008 0.500 0.503
0.742 0.000 0.503
0.966 0.500 0.624
0.257 0.500 0.686
0.752 0.000 0.748
0.992 0.500 0.873
0.504 0.000 0.937
0.242 0.500 0.938
0.758 0.000 0.625
0.514 0.000 0.189
0.004 0.500 0.002
0.253 0.500 0.063
0.491 0.000 0.066
0.744 0.000 0.127
0.756 0.000 0.250
0.996 0.500 0.250
0.493 0.000 0.310
0.251 0.500 0.311
0.741 0.000 0.373
0.506 0.000 0.436
0.259 0.500 0.566
0.500 0.000 0.569
0.511 0.000 0.681
0.005 0.500 0.749
0.254 0.500 0.811
0.493 0.000 0.811
0.743 0.000 0.873
```


It is c that is the least stable of them.


a | This record from OQMD describes a relaxed ScNiGePd crystal. The functional is PBE.

Cell and atoms, written as POSCAR:
```
ScNiGePd
1.0
0.000 3.141 3.141
3.141 0.000 3.141
3.141 3.141 0.000
Ge Ni Pd Sc
1 1 1 1
Direct
0.000 0.000 0.000
0.750 0.750 0.750
0.500 0.500 0.500
0.250 0.250 0.250
```


b | This record from OQMD describes a relaxed ScNiGePd crystal. The functional is PBE.

Cell and atoms, written as POSCAR:
```
ScNiGePd
1.0
-3.931 -0.574 1.913
-3.642 1.553 -1.938
-2.922 -2.793 -1.761
Ge Ni Pd Sc
1 1 1 1
Direct
0.000 0.000 0.000
0.750 0.750 0.750
0.250 0.250 0.250
0.500 0.500 0.500
```


It is a that is the least stable of them.


a | This record from OQMD describes a relaxed TaNiGePt crystal. The functional is PBE.

Cell and atoms, written as POSCAR:
```
TaNiGePt
1.0
0.000 3.125 3.125
3.125 0.000 3.125
3.125 3.125 0.000
Ge Ni Pt Ta
1 1 1 1
Direct
0.000 0.000 0.000
0.750 0.750 0.750
0.250 0.250 0.250
0.500 0.500 0.500
```


b | This record from OQMD describes a relaxed TaNiGePt crystal. The functional is PBE.

Cell and atoms, written as POSCAR:
```
TaNiGePt
1.0
-3.469 -1.502 2.246
-1.034 1.769 3.890
-3.606 2.485 0.397
Ge Ni Pt Ta
1 1 1 1
Direct
0.000 0.000 0.000
0.750 0.750 0.750
0.500 0.500 0.500
0.250 0.250 0.250
```


It is a that is the least stable of them.


a | This record from OQMD describes a relaxed ZnNiGeS3 crystal. The functional is PBE.

Cell and atoms, written as POSCAR:
```
ZnNiGeS3
1.0
9.004 0.000 0.000
0.000 1.726 6.585
0.000 -1.726 6.585
Ge Ni S Zn
2 2 6 2
Direct
0.000 0.226 0.226
0.500 0.774 0.774
0.500 0.477 0.477
0.000 0.523 0.523
0.500 0.082 0.082
0.320 0.356 0.356
0.680 0.356 0.356
0.180 0.644 0.644
0.820 0.644 0.644
0.000 0.918 0.918
0.250 0.000 0.000
0.750 0.000 0.000
```


b | This record from OQMD describes a relaxed ZnNiGeS3 crystal. The functional is PBE.

Cell and atoms, written as POSCAR:
```
ZnNiGeS3
1.0
-0.225 -3.749 5.213
-1.833 -5.604 2.551
8.111 -3.709 -2.318
Ge Ni S Zn
2 2 6 2
Direct
0.767 0.767 0.250
0.233 0.233 0.750
0.000 0.000 0.000
0.000 0.000 0.500
0.367 0.367 0.054
0.098 0.098 0.250
0.367 0.367 0.446
0.633 0.633 0.554
0.902 0.902 0.750
0.633 0.633 0.946
0.482 0.482 0.250
0.518 0.518 0.750
```


It is b that is the least stable of them.


a | This record from OQMD describes a relaxed ScZnNiGe crystal. The functional is PBE.

Cell and atoms, written as POSCAR:
```
ScZnNiGe
1.0
0.000 3.120 3.120
3.120 0.000 3.120
3.120 3.120 0.000
Ge Ni Sc Zn
1 1 1 1
Direct
0.000 0.000 0.000
0.250 0.250 0.250
0.500 0.500 0.500
0.750 0.750 0.750
```


b | This record from OQMD describes a relaxed ScZnNiGe crystal. The functional is PBE.

Cell and atoms, written as POSCAR:
```
ScZnNiGe
1.0
0.000 3.133 3.133
3.133 0.000 3.133
3.133 3.133 0.000
Ge Ni Sc Zn
1 1 1 1
Direct
0.000 0.000 0.000
0.500 0.500 0.500
0.750 0.750 0.750
0.250 0.250 0.250
```


It is b that is the least stable of them.


a | This record from OQMD describes a relaxed ZnNiGeSe3 crystal. The functional is PBE.

Cell and atoms, written as POSCAR:
```
ZnNiGeSe3
1.0
3.755 0.000 0.000
0.000 9.514 0.000
-1.878 0.000 6.510
Ge Ni Se Zn
2 2 6 2
Direct
0.227 0.000 0.454
0.773 0.500 0.546
0.000 0.250 0.000
0.000 0.750 0.000
0.097 0.500 0.195
0.636 0.201 0.272
0.636 0.799 0.272
0.364 0.299 0.728
0.364 0.701 0.728
0.903 0.000 0.805
0.521 0.000 0.041
0.479 0.500 0.959
```


b | This record from OQMD describes a relaxed ZnNiGeSe3 crystal. The functional is PBE.

Cell and atoms, written as POSCAR:
```
ZnNiGeSe3
1.0
-3.218 1.655 0.049
-4.851 -5.458 -0.679
-0.307 -0.868 9.164
Ge Ni Se Zn
2 2 6 2
Direct
0.223 0.555 0.250
0.777 0.445 0.750
0.527 0.946 0.250
0.473 0.054 0.750
0.645 0.709 0.065
0.919 0.161 0.250
0.645 0.709 0.435
0.355 0.291 0.565
0.081 0.839 0.750
0.355 0.291 0.935
0.000 0.000 0.000
0.000 0.000 0.500
```


It is a that is the least stable of them.